No. 1
# Zr2Re3Os

A geometry-optimized Zr2Re3Os structure (PBE, Alexandria via LeMat-Bulk).

Cell and atoms, written as extended XYZ:
```
6
Lattice="4.544 -2.620 0.000 4.544 2.620 0.000 -3.014 0.000 4.399" Properties=species:S:1:pos:R:3 pbc="T T T"
Zr 0.002 0.000 1.645
Zr 6.072 0.000 2.754
Re 2.272 1.310 0.000
Re 2.272 -1.310 0.000
Re 4.544 0.000 0.000
Os 3.037 0.000 2.200
```

Calculated values
Uncorrected energy (eV for the cell shown): -67.64
Fermi-level density of states (states/eV/f.u.): 6.98

---

No. 2
# ZrRe2Os

A geometry-optimized ZrRe2Os structure (PBE, Alexandria via LeMat-Bulk).

Cell and atoms, written as extended XYZ:
```
4
Lattice="2.843 0.000 0.000 0.000 2.843 0.000 0.000 0.000 8.181" Properties=species:S:1:pos:R:3 pbc="T T T"
Zr 0.000 0.000 0.000
Re 0.000 0.000 3.988
Re 1.421 1.421 5.894
Os 1.421 1.421 2.242
```

Calculated values
Polymorph energy (0 for the lowest one) (eV/atom): 0.000
Uncorrected energy (eV for the cell shown): -44.49
Fermi-level density of states (states/eV/f.u.): 3.92

---

No. 3
# ZrRe2Os

A geometry-optimized ZrRe2Os structure (PBE, Alexandria via LeMat-Bulk).

Cell and atoms, written as extended XYZ:
```
4
Lattice="3.198 0.000 0.000 0.000 3.198 0.000 0.000 0.000 6.420" Properties=species:S:1:pos:R:3 pbc="T T T"
Zr 0.000 0.000 0.000
Re 1.599 1.599 1.685
Re 1.599 1.599 4.736
Os 0.000 0.000 3.210
```

Calculated values
Polymorph energy (0 for the lowest one) (eV/atom): 0.178
Uncorrected energy (eV for the cell shown): -43.78
Fermi-level density of states (states/eV/f.u.): 3.80

---

No. 4
# ZrRe2Os

A geometry-optimized ZrRe2Os structure (PBE, Alexandria via LeMat-Bulk).

Cell and atoms, written as extended XYZ:
```
4
Lattice="2.825 0.000 0.000 0.000 4.352 0.000 -1.277 0.000 5.373" Properties=species:S:1:pos:R:3 pbc="T T T"
Zr 0.000 0.000 0.000
Re 0.000 2.176 3.859
Re 0.664 0.000 2.694
Os 1.660 2.176 1.447
```

Calculated values
Polymorph energy (0 for the lowest one) (eV/atom): 0.066
Uncorrected energy (eV for the cell shown): -44.23
Fermi-level density of states (states/eV/f.u.): 3.05

---

No. 5
# Os3Rh5

A geometry-optimized Os3Rh5 structure (PBE, Alexandria via LeMat-Bulk).

Cell and atoms, written as extended XYZ:
```
16
Lattice="5.139 -4.750 0.000 5.139 4.750 0.000 -2.226 0.000 4.658" Properties=species:S:1:pos:R:3 pbc="T T T"
Os 3.469 4.318 3.493
Os 2.732 1.987 2.367
Os 4.206 1.987 4.619
Os 3.845 -1.987 0.038
Os 5.319 -1.987 2.291
Os 4.582 -4.318 1.164
Rh 1.638 2.778 4.648
Rh 0.903 0.392 3.441
Rh 2.016 -0.392 1.113
Rh 5.301 2.778 2.338
Rh 4.582 0.382 1.164
Rh 3.469 -0.382 3.493
Rh 2.751 -2.778 2.319
Rh 6.036 0.392 3.545
Rh 7.148 -0.392 1.216
Rh 6.414 -2.778 0.010
```

Calculated values
Polymorph energy (0 for the lowest one) (eV/atom): 0.013
Uncorrected energy (eV for the cell shown): -140.28
Fermi-level density of states (states/eV/f.u.): 7.68

---

No. 6
# Os2Rh3

A geometry-optimized Os2Rh3 structure (PBE, Alexandria via LeMat-Bulk).

Cell and atoms, written as extended XYZ:
```
10
Lattice="0.000 6.737 2.362 4.544 0.000 2.362 4.544 6.737 0.000" Properties=species:S:1:pos:R:3 pbc="T T T"
Os 4.731 3.961 2.362
Os 6.629 7.330 3.543
Os 4.357 9.513 2.362
Os 7.003 12.882 3.543
Rh 4.258 1.359 2.232
Rh 1.986 2.010 1.051
Rh 2.558 4.727 1.051
Rh 4.544 6.737 2.171
Rh 6.816 10.106 3.352
Rh 4.830 12.116 2.232
```

Calculated values
Polymorph energy (0 for the lowest one) (eV/atom): 0.000
Uncorrected energy (eV for the cell shown): -86.80
Fermi-level density of states (states/eV/f.u.): 4.94

---

No. 7
# OsRh5

A geometry-optimized OsRh5 structure (PBE, Alexandria via LeMat-Bulk).

Cell and atoms, written as extended XYZ:
```
6
Lattice="4.731 0.000 0.000 -2.365 4.097 0.000 0.000 0.000 4.393" Properties=species:S:1:pos:R:3 pbc="T T T"
Os 0.000 0.000 0.000
Rh -1.594 2.761 2.197
Rh 0.771 1.336 2.197
Rh 0.000 2.731 0.000
Rh 2.365 1.366 0.000
Rh 3.188 0.000 2.197
```

Calculated values
Polymorph energy (0 for the lowest one) (eV/atom): 0.019
Uncorrected energy (eV for the cell shown): -47.75
Fermi-level density of states (states/eV/f.u.): 8.24

---

No. 8
# OsRh

A geometry-optimized OsRh structure (PBE, Alexandria via LeMat-Bulk).

Cell and atoms, written as extended XYZ:
```
4
Lattice="2.723 0.000 0.000 0.000 2.723 0.000 0.000 0.000 7.697" Properties=species:S:1:pos:R:3 pbc="T T T"
Os 0.681 0.681 0.952
Os 2.042 2.042 6.745
Rh 0.681 0.681 4.852
Rh 2.042 2.042 2.844
```

Calculated values
Uncorrected energy (eV for the cell shown): -36.93
Fermi-level density of states (states/eV/f.u.): 2.46

---

No. 9
# Os2Rh

A geometry-optimized Os2Rh structure (PBE, Alexandria via LeMat-Bulk).

Cell and atoms, written as extended XYZ:
```
6
Lattice="-1.356 1.356 12.107 1.356 -1.356 12.107 1.356 1.356 -12.107" Properties=species:S:1:pos:R:3 pbc="T T T"
Os 1.356 0.678 1.079
Os 1.356 0.678 4.974
Os 0.000 0.678 7.132
Os 0.000 0.678 11.028
Rh 1.356 -0.678 9.080
Rh 0.000 2.035 3.027
```

Calculated values
Polymorph energy (0 for the lowest one) (eV/atom): 0.376
Uncorrected energy (eV for the cell shown): -57.31
Fermi-level density of states (states/eV/f.u.): 3.21

---

No. 10
# Os2Rh

A geometry-optimized Os2Rh structure (PBE, Alexandria via LeMat-Bulk).

Cell and atoms, written as extended XYZ:
```
6
Lattice="4.964 -1.373 0.000 4.964 1.373 0.000 -1.541 0.000 6.274" Properties=species:S:1:pos:R:3 pbc="T T T"
Os -0.174 0.000 1.883
Os 2.097 0.000 6.120
Os 6.290 0.000 0.154
Os 8.561 0.000 4.391
Rh 2.502 0.000 2.265
Rh 5.885 0.000 4.009
```

Calculated values
Polymorph energy (0 for the lowest one) (eV/atom): 0.018
Uncorrected energy (eV for the cell shown): -59.46
Fermi-level density of states (states/eV/f.u.): 2.19

---

No. 11
# OsRh

A geometry-optimized OsRh structure (PBE, Alexandria via LeMat-Bulk).

Cell and atoms, written as extended XYZ:
```
8
Lattice="4.255 0.000 0.000 -2.127 3.685 0.000 0.000 0.000 7.873" Properties=species:S:1:pos:R:3 pbc="T T T"
Os 0.000 2.456 0.710
Os 0.000 2.456 3.227
Os 2.127 1.228 4.646
Os 2.127 1.228 7.163
Rh 0.000 0.000 1.968
Rh 0.000 0.000 5.904
Rh 0.000 2.456 5.904
Rh 2.127 1.228 1.968
```

Calculated values
Uncorrected energy (eV for the cell shown): -69.47
Fermi-level density of states (states/eV/f.u.): 1.92

---

No. 12
# OsRh

A geometry-optimized OsRh structure (PBE, Alexandria via LeMat-Bulk).

Cell and atoms, written as extended XYZ:
```
4
Lattice="3.902 0.000 0.000 -1.951 3.380 0.000 0.000 0.000 6.411" Properties=species:S:1:pos:R:3 pbc="T T T"
Os 0.000 2.253 0.000
Os 1.951 1.127 3.206
Rh 0.000 2.253 4.002
Rh 1.951 1.127 0.797
```

Calculated values
Uncorrected energy (eV for the cell shown): -31.77
Fermi-level density of states (states/eV/f.u.): 1.85

---

Values for DFT formation energy, meV per atom, ordered as above
-329; 45; 223; 111; 39; 223; 39; 58; 385; 27; 607; 1348